Model i:
Here is LaS3Cl after structural relaxation from Alexandria via LeMat-Bulk. Energies are from GGA-PBE.

Structure (POSCAR):
```
LaS3Cl
1.0
4.736 0.000 0.000
0.000 4.736 0.000
0.000 0.000 4.736
S Cl La
3 1 1
Direct
0.000 0.500 0.000 S
0.000 0.000 0.500 S
0.500 0.000 0.000 S
0.000 0.000 0.000 Cl
0.500 0.500 0.500 La
```

M_tot	0.0	Bohr magnetons per cell
SG	Pm-3m

Model ii:
Here is LaS3Cl after structural relaxation from Alexandria via LeMat-Bulk. Energies are from GGA-PBE.

Structure (POSCAR):
```
LaS3Cl
1.0
-1.816 2.077 4.949
-1.000 -5.264 1.843
5.274 -0.283 2.053
S Cl La
3 1 1
Direct
0.000 0.500 0.000 S
0.000 0.000 0.500 S
0.500 0.000 0.000 S
0.500 0.500 0.500 Cl
0.000 0.000 0.000 La
```

M_tot	4.0	Bohr magnetons per cell
SG	Pm-3m

Bottom line: model i, by a margin of 350 meV per atom.

Model i:
Here is La2S2Cl after structural relaxation from Alexandria via LeMat-Bulk. Energies are from GGA-PBE.

Structure (POSCAR):
```
La2S2Cl
1.0
-1.405 -6.310 -4.664
-0.248 -4.700 6.434
-3.758 0.613 0.303
S Cl La
4 2 4
Direct
0.141 0.641 0.500 S
0.641 0.859 0.500 S
0.859 0.359 0.500 S
0.359 0.141 0.500 S
0.000 0.000 0.000 Cl
0.500 0.500 0.000 Cl
0.341 0.841 0.000 La
0.841 0.659 0.000 La
0.659 0.159 0.000 La
0.159 0.341 0.000 La
```

M_tot	0.0	Bohr magnetons per cell
SG	P4/mbm

Model ii:
Here is La2S2Cl after structural relaxation from Alexandria via LeMat-Bulk. Energies are from GGA-PBE.

Structure (POSCAR):
```
La2S2Cl
1.0
4.238 0.000 0.000
0.000 5.701 0.000
-2.119 -2.850 6.454
La S Cl
2 2 1
Direct
0.667 0.167 0.334 La
0.333 0.833 0.666 La
0.316 0.316 0.631 S
0.684 0.684 0.369 S
0.000 0.000 0.000 Cl
```

M_tot	0.0	Bohr magnetons per cell
SG	Immm

Bottom line: model i, by a margin of 96 meV per atom.

Model i:
Here is LaSCl2 after structural relaxation from Alexandria via LeMat-Bulk. Energies are from GGA-PBE.

Structure (POSCAR):
```
LaSCl2
1.0
0.000 3.556 3.556
3.556 0.000 3.556
3.556 3.556 0.000
S Cl La
1 2 1
Direct
0.000 0.000 0.000 S
0.250 0.250 0.250 Cl
0.750 0.750 0.750 Cl
0.500 0.500 0.500 La
```

M_tot	1.0	Bohr magnetons per cell
SG	Fm-3m

Model ii:
Here is LaSCl2 after structural relaxation from Alexandria via LeMat-Bulk. Energies are from GGA-PBE.

Structure (POSCAR):
```
LaSCl2
1.0
-2.291 -0.462 -3.924
-1.671 -3.997 1.446
-9.673 2.415 2.707
S Cl La
2 4 2
Direct
0.500 0.500 0.000 S
0.250 0.750 0.500 S
0.649 0.125 0.250 Cl
0.101 0.625 0.250 Cl
0.375 0.351 0.750 Cl
0.875 0.899 0.750 Cl
0.000 0.000 0.000 La
0.750 0.250 0.500 La
```

M_tot	2.0	Bohr magnetons per cell
SG	I-42d

Model iii:
Here is LaSCl2 after structural relaxation from Alexandria via LeMat-Bulk. Energies are from GGA-PBE.

Structure (POSCAR):
```
LaSCl2
1.0
2.373 0.000 11.248
-1.187 2.055 11.248
-1.187 -2.055 11.248
S Cl La
1 2 1
Direct
0.500 0.500 0.500 S
0.924 0.924 0.924 Cl
0.076 0.076 0.076 Cl
0.000 0.000 0.000 La
```

M_tot	2.8	Bohr magnetons per cell
SG	R-3m

Model iv:
Here is LaSCl2 after structural relaxation from Alexandria via LeMat-Bulk. Energies are from GGA-PBE.

Structure (POSCAR):
```
LaSCl2
1.0
2.408 0.000 9.394
-1.204 2.085 9.394
-1.204 -2.085 9.394
S Cl La
1 2 1
Direct
0.000 0.000 0.000 S
0.888 0.888 0.888 Cl
0.112 0.112 0.112 Cl
0.500 0.500 0.500 La
```

M_tot	1.0	Bohr magnetons per cell
SG	R-3m

Bottom line: model ii, by a margin of 60 meV per atom.

Model i:
Here is LaSbS2Cl after structural relaxation from Alexandria via LeMat-Bulk. Energies are from GGA-PBE.

Structure (POSCAR):
```
LaSbS2Cl
1.0
-2.410 -3.612 2.890
3.844 -3.376 -1.015
2.528 1.631 4.147
Sb S Cl La
1 2 1 1
Direct
0.000 0.000 0.000 Sb
0.000 0.500 0.000 S
0.500 0.000 0.000 S
0.000 0.000 0.500 Cl
0.500 0.500 0.500 La
```

M_tot	0.5	Bohr magnetons per cell
SG	P4/mmm

Model ii:
Here is LaSbS2Cl after structural relaxation from Alexandria via LeMat-Bulk. Energies are from GGA-PBE.

Structure (POSCAR):
```
LaSbS2Cl
1.0
-1.213 -5.106 1.920
2.016 1.408 5.019
-4.847 1.703 1.469
Sb S Cl La
1 2 1 1
Direct
0.500 0.500 0.500 Sb
0.000 0.500 0.000 S
0.500 0.000 0.000 S
0.000 0.000 0.500 Cl
0.000 0.000 0.000 La
```

M_tot	1.0	Bohr magnetons per cell
SG	P4/mmm

Bottom line: model i, by a margin of 26 meV per atom.

Model i:
Here is LaSeSCl2 after structural relaxation from Alexandria via LeMat-Bulk. Energies are from GGA-PBE.

Structure (POSCAR):
```
LaSeSCl2
1.0
5.156 0.000 0.000
0.000 5.156 0.000
0.000 0.000 4.928
S Cl Se La
1 2 1 1
Direct
0.000 0.000 0.500 S
0.000 0.500 0.000 Cl
0.500 0.000 0.000 Cl
0.000 0.000 0.000 Se
0.500 0.500 0.500 La
```

M_tot	0.6	Bohr magnetons per cell
SG	P4/mmm

Model ii:
Here is LaSeSCl2 after structural relaxation from Alexandria via LeMat-Bulk. Energies are from GGA-PBE.

Structure (POSCAR):
```
LaSeSCl2
1.0
5.549 0.000 0.000
0.000 5.549 0.000
0.000 0.000 5.722
S Cl Se La
1 2 1 1
Direct
0.000 0.000 0.500 S
0.000 0.500 0.000 Cl
0.500 0.000 0.000 Cl
0.500 0.500 0.500 Se
0.000 0.000 0.000 La
```

M_tot	3.0	Bohr magnetons per cell
SG	P4/mmm

Bottom line: model ii, by a margin of 362 meV per atom.

Model i:
Here is LaSiS2Cl after structural relaxation from Alexandria via LeMat-Bulk. Energies are from GGA-PBE.

Structure (POSCAR):
```
LaSiS2Cl
1.0
5.572 0.000 0.000
0.000 5.572 0.000
0.000 0.000 5.341
S Cl Si La
2 1 1 1
Direct
0.000 0.500 0.000 S
0.500 0.000 0.000 S
0.000 0.000 0.500 Cl
0.500 0.500 0.500 Si
0.000 0.000 0.000 La
```

M_tot	0.0	Bohr magnetons per cell
SG	P4/mmm

Model ii:
Here is LaSiS2Cl after structural relaxation from Alexandria via LeMat-Bulk. Energies are from GGA-PBE.

Structure (POSCAR):
```
LaSiS2Cl
1.0
-1.090 -3.218 -3.408
0.658 -3.569 3.160
-4.483 0.241 1.207
S Cl Si La
2 1 1 1
Direct
0.000 0.500 0.000 S
0.500 0.000 0.000 S
0.000 0.000 0.500 Cl
0.000 0.000 0.000 Si
0.500 0.500 0.500 La
```

M_tot	0.3	Bohr magnetons per cell
SG	P4/mmm

Bottom line: model ii, by a margin of 616 meV per atom.